Material: KRb2ErCl6
Method: DFT, PBE
State: relaxed

Calculated values
Density   2.784 g cm⁻³
Size of the total moment   0.00 μB per formula unit
SG   Fm-3m
E_tot   -39.78 eV/cell
D(E_F)   0.000 states/eV per atom
Raw formation energy   -2.110 eV/atom

```
10
Lattice="7.926 0.000 0.000 3.964 6.863 0.000 3.964 2.289 6.470" Properties=species:S:1:pos:R:3 pbc="T T T"
K 7.927 4.576 3.235
Cl 5.809 3.355 4.962
Cl 7.927 7.020 4.963
Cl 10.044 3.355 4.963
Cl 7.926 2.132 1.507
Cl 5.809 5.797 1.508
Cl 10.044 5.797 1.508
Rb 11.890 6.863 4.852
Rb 3.963 2.288 1.618
Er 7.927 9.152 6.470
```

Material: KErScCl6
Method: DFT, PBE
State: relaxed

Calculated values
Density   2.757 g cm⁻³
Size of the total moment   1.02 μB per formula unit
SG   P-31c
E_tot   -83.43 eV/cell
D(E_F)   0.673 states/eV per atom
Raw formation energy   -2.072 eV/atom

```
18
Lattice="6.732 0.000 0.000 -3.366 5.830 0.000 0.000 0.000 14.239" Properties=species:S:1:pos:R:3 pbc="T T T"
K 0.000 0.000 0.000
K 0.000 0.000 7.119
Er 3.366 1.943 3.560
Er 0.000 3.887 10.679
Sc 0.000 3.887 3.560
Sc 3.366 1.943 10.679
Cl 2.113 3.712 2.049
Cl -1.208 2.144 2.049
Cl 2.461 0.026 9.169
Cl 4.574 3.686 12.189
Cl 1.208 2.144 5.070
Cl -2.113 3.712 5.070
Cl 4.272 0.026 12.189
Cl 0.906 5.804 5.070
Cl 5.480 2.118 9.169
Cl -0.906 5.804 2.049
Cl 2.158 3.686 9.169
Cl 1.253 2.118 12.189
```